No. 1
PaCu2, relaxed, DFT PBE; energy of formation = 0.018 eV per atom; total energy = -5.88 eV per atom; theoretical density = 12.05 g/cm3
1.0
-0.8077 3.9495 -3.2644
-4.8287 1.2217 -1.4485
-2.1938 4.3761 1.7160
Pa Cu
2 4
direct
0.0000 0.0000 0.0000 Pa
0.2500 0.2500 0.2500 Pa
0.1250 0.6250 0.6250 Cu
0.6250 0.1250 0.6250 Cu
0.6250 0.6250 0.6250 Cu
0.6250 0.6250 0.1250 Cu

=====

No. 2
BeReAu2, relaxed, DFT PBE; energy of formation = 0.306 eV per atom; total energy = -5.38 eV per atom; theoretical density = 16.78 g/cm3
1.0
2.8528 -0.0054 0.0000
0.0055 2.8528 0.0000
0.0000 0.0000 7.1642
Re Au Be
1 2 1
direct
0.5000 0.5000 0.7500 Re
0.0000 0.0000 0.0395 Au
0.0000 0.0000 0.4605 Au
0.5000 0.5000 0.2500 Be

=====

No. 3
TaBe2IrF, relaxed, DFT PBE; total energy = -5.74 eV per atom; theoretical density = 7.94 g/cm3; E_form (uncorrected) = 268 meV per atom
1.0
-3.5120 1.2778 -1.8972
-1.7891 -4.5334 0.2586
-1.6946 0.8816 3.7306
Be F Ir Ta
2 1 1 1
direct
0.0000 0.0000 0.5000 Be
0.5000 0.0000 0.0000 Be
0.5000 0.5000 0.5000 F
0.0000 0.0000 0.0000 Ir
0.0000 0.5000 0.0000 Ta

=====

No. 4
Na2AlCl, relaxed, DFT PBE; ΔE to the lowest computed polymorph = 0.0 meV per atom; total energy = -2.45 eV per atom; theoretical density = 1.63 g/cm3; E_form (uncorrected) = -397 meV per atom
1.0
7.9804 0.0000 0.0000
0.0000 7.9804 0.0000
3.9902 3.9902 3.4625
Na Al Cl
4 2 2
direct
0.6752 0.1250 0.2500 Na
0.0748 0.6250 0.2500 Na
0.3750 0.3248 0.7500 Na
0.8750 0.9252 0.7500 Na
0.5000 0.5000 0.0000 Al
0.2500 0.7500 0.5000 Al
0.0000 0.0000 0.0000 Cl
0.7500 0.2500 0.5000 Cl

=====

No. 5
LaTc2Rh, relaxed, DFT PBE; energy of formation = 0.056 eV per atom; ΔE to the lowest computed polymorph = 0.0 meV per atom; total energy = -8.20 eV per atom; theoretical density = 8.65 g/cm3
1.0
-0.2174 3.7983 -1.8167
-3.7337 1.8970 -0.4851
-0.7453 4.2636 4.1198
La Rh Tc
1 1 2
direct
0.5022 0.5022 0.4924 La
0.2803 0.2803 0.1596 Rh
0.0183 0.0183 0.9455 Tc
0.6992 0.6992 0.9024 Tc

=====

No. 6
Al4Si5, relaxed, DFT PBE; ΔE to the lowest computed polymorph = 0.0 meV per atom; total energy = -4.43 eV per atom; theoretical density = 3.02 g/cm3; E_form (uncorrected) = 249 meV per atom
1.0
-4.2601 4.2601 1.8792
4.2601 -4.2601 1.8792
4.2601 4.2601 -1.8792
Al Si
4 5
direct
0.6719 0.0000 0.6719 Al
0.3281 0.0000 0.3281 Al
0.0000 0.3281 0.3281 Al
0.0000 0.6719 0.6719 Al
0.0000 0.0000 0.0000 Si
0.6675 0.3325 0.0000 Si
0.3325 0.6675 0.0000 Si
0.3325 0.3325 0.6650 Si
0.6675 0.6675 0.3350 Si